Material: NaPtN2F
Method: DFT, PBE
State: relaxed

## Properties
raw formation energy = 1.947 eV/atom
calculated volume = 13.03 A^3/atom
calculated total energy = -3.230 eV/atom

abc: 4.1733 4.1733 3.7400
angles: 90.00 90.00 90.00
Closest atoms and distances in Å follow each position.
Positions (direct):
Na  0.0000  0.0000  0.0000  2 F 1.87, 4 N 2.09
Pt  0.5000  0.5000  0.5000  8 N 2.80, 4 F 2.95
N  0.0000  0.5000  0.0000  2 Na 2.09
N  0.5000  0.0000  0.0000  2 Na 2.09
F  0.0000  0.0000  0.5000  2 Na 1.87